# 1
{
  "formula": "ZnCu3Ni6",
  "functional": "PBE",
  "state": "optimized geometry",
  "m_tot_mub_per_fu": 1.779,
  "formation_enthalpy_0k_ev_per_fu": 1.97,
  "total_energy_ev_per_atom": -4.63,
  "polymorph_energy_mev_per_atom": 176,
  "lattice": [[4.708, 0.000, 0.000], [-2.354, 4.077, 0.000], [0.000, 0.000, 6.364]],
  "species": ["Zn", "Cu", "Cu", "Cu", "Ni", "Ni", "Ni", "Ni", "Ni", "Ni"],
  "fractional_positions": [[0.000, 0.000, 0.000], [0.000, 0.000, 0.500], [0.667, 0.333, 0.500], [0.333, 0.667, 0.500], [0.543, 0.543, 0.817], [0.000, 0.457, 0.817], [0.457, 0.000, 0.817], [0.000, 0.543, 0.183], [0.457, 0.457, 0.183], [0.543, 0.000, 0.183]]
}

---

# 2
{
  "formula": "SrMg2SnPd4",
  "functional": "PBE",
  "state": "optimized geometry",
  "m_tot_mub_per_fu": 0.000,
  "formation_enthalpy_0k_ev_per_fu": -4.75,
  "total_energy_ev_per_atom": -4.30,
  "lattice": [[4.563, 0.000, 0.000], [2.282, 3.952, 0.000], [2.282, 1.317, 9.023]],
  "species": ["Sr", "Mg", "Mg", "Sn", "Pd", "Pd", "Pd", "Pd"],
  "fractional_positions": [[0.000, 0.000, 0.000], [0.762, 0.762, 0.714], [0.238, 0.238, 0.286], [0.500, 0.500, 0.500], [0.403, 0.403, 0.792], [0.870, 0.870, 0.390], [0.130, 0.130, 0.610], [0.597, 0.597, 0.208]]
}

---

# 3
{
  "formula": "NdGdCdGe",
  "functional": "PBE",
  "state": "optimized geometry",
  "m_tot_mub_per_fu": 7.331,
  "formation_enthalpy_0k_ev_per_fu": -1.95,
  "total_energy_ev_per_atom": -6.58,
  "lattice": [[-5.232, -0.003, -0.478], [-2.208, -0.808, -4.698], [-2.547, -4.492, -0.968]],
  "species": ["Ge", "Gd", "Nd", "Cd"],
  "fractional_positions": [[0.250, 0.250, 0.250], [0.500, 0.500, 0.500], [0.000, 0.000, 0.000], [0.750, 0.750, 0.750]]
}

---

# 4
{
  "formula": "CdBi4Pd15",
  "functional": "PBE",
  "state": "optimized geometry",
  "m_tot_mub_per_fu": 0.000,
  "formation_enthalpy_0k_ev_per_fu": -5.23,
  "total_energy_ev_per_atom": -4.98,
  "lattice": [[-0.188, -4.008, 0.932], [2.798, 0.560, 2.970], [-15.033, 3.834, 13.441]],
  "species": ["Cd", "Bi", "Bi", "Bi", "Bi", "Pd", "Pd", "Pd", "Pd", "Pd", "Pd", "Pd", "Pd", "Pd", "Pd", "Pd", "Pd", "Pd", "Pd", "Pd"],
  "fractional_positions": [[0.000, 0.000, 0.000], [0.000, 0.000, 0.192], [0.000, 0.000, 0.398], [0.000, 0.000, 0.602], [0.000, 0.000, 0.808], [0.500, 0.500, 0.000], [0.500, 0.500, 0.202], [0.500, 0.500, 0.400], [0.500, 0.500, 0.600], [0.500, 0.500, 0.798], [0.500, 0.000, 0.097], [0.500, 0.000, 0.299], [0.500, 0.000, 0.500], [0.500, 0.000, 0.701], [0.500, 0.000, 0.903], [0.000, 0.500, 0.097], [0.000, 0.500, 0.299], [0.000, 0.500, 0.500], [0.000, 0.500, 0.701], [0.000, 0.500, 0.903]]
}